Record 1
The following is a GGA-PBEsol calculation of an optimized crystal structure of TaNiAs, from Alexandria via LeMat-Bulk.

Summary:
N(E_F): 0.153 states/eV per atom
Theoretical density: 12.575 g/cm³
Energy of formation from the pure elements: -0.481 eV/atom
Space-group type: Pnma
Volume: 166 Å³/cell
Energy: -8.419 eV per atom

Structure (extended XYZ):
```
12
Lattice="-1.8201 2.7963 -1.5425 -4.3783 -0.4036 4.4346 3.7138 4.6746 4.0922" Properties=species:S:1:pos:R:3 pbc="T T T"
Ni -3.0812 0.7918 2.8814
Ni 0.5967 6.2754 4.1029
Ni -2.8753 4.4590 4.9067
Ni 0.3907 2.6083 2.0776
As -1.2957 1.1317 1.3906
As -1.1889 5.9356 5.5937
As -2.5025 2.1663 4.6903
As 0.0180 4.9009 2.2940
Ta -5.0678 2.4659 3.8808
Ta -0.2454 3.5946 4.6162
Ta 2.5833 4.6013 3.1035
Ta -2.2392 3.4727 2.3681
```


Record 2
The following is a GGA-PBEsol calculation of an optimized crystal structure of TaNi2As, from Alexandria via LeMat-Bulk.

Summary:
N(E_F): 0.844 states/eV per atom
Theoretical density: 11.392 g/cm³
Energy of formation from the pure elements: -0.075 eV/atom
Space-group type: Cmmm
Volume: 54 Å³/cell
Energy: -7.569 eV per atom

Structure (extended XYZ):
```
4
Lattice="2.8979 0.0481 0.0704 -0.0791 4.4691 0.0480 -0.0791 -1.5811 4.1804" Properties=species:S:1:pos:R:3 pbc="T T T"
Ni -0.0395 2.2346 0.0240
Ni -0.0395 -0.7906 2.0902
Ta 1.3699 1.4680 2.1494
As 1.4490 0.0240 0.0352
```